Below is LiSmCd2Ag4 after structural relaxation, with properties calculated at the PBE level.

Its symmetry is R-3m. The value obtained for the density is 8.34 g cm⁻³. Its formation energy is -0.21 eV per atom. The volume comes out at 162.1 Å³ per cell.

a b c (Å): 4.8531 4.8531 8.4255
angles (deg): 73.26 73.26 60.00
Closest atoms and distances in Å follow each position.
Positions (direct):
Cd: 0.7484 0.7484 0.7548  7 Ag 2.87-3.03
Ag: 0.6104 0.6104 0.1688  1 Li 2.63, 3 Cd 2.87
Ag: 0.1305 0.1305 0.6085  4 Cd 2.89-3.03, 3 Li 2.93, 1 Sm 3.11
Li: 0.5000 0.5000 0.5000  8 Ag 2.63-2.93
Ag: 0.3896 0.3896 0.8312  1 Li 2.63, 3 Cd 2.87
Ag: 0.8695 0.8695 0.3915  4 Cd 2.89-3.03, 3 Li 2.93, 1 Sm 3.11
Cd: 0.2516 0.2516 0.2452  7 Ag 2.87-3.03
Sm: 0.0000 0.0000 0.0000  8 Ag 3.11, 6 Cd 3.41

Below is Li2SmCd2Ag2 after structural relaxation, with properties calculated at the PBE level.

Its symmetry is C2/m. The value obtained for the density is 6.87 g cm⁻³. Its formation energy is -0.24 eV per atom. The volume comes out at 146.2 Å³ per cell.

a b c (Å): 4.8048 4.8462 7.7071
angles (deg): 107.52 90.00 119.72
Closest atoms and distances in Å follow each position.
Positions (direct):
Ag: 0.2698 0.5395 0.8052  1 Li 2.60, 3 Cd 2.86-2.87
Li: 0.1478 0.2957 0.4457  1 Ag 2.60, 3 Li 2.89-2.90
Ag: 0.7302 0.4605 0.1948  1 Li 2.60, 3 Cd 2.86-2.87
Li: 0.8522 0.7043 0.5543  1 Ag 2.60, 3 Li 2.89-2.90
Cd: 0.4265 0.8530 0.2833  3 Ag 2.86-2.87, 3 Li 3.02-3.03, 1 Cd 3.13
Cd: 0.5735 0.1470 0.7167  3 Ag 2.86-2.87, 3 Li 3.02-3.03, 1 Cd 3.13
Sm: 0.0000 0.0000 0.0000  6 Ag 3.12-3.13, 2 Li 3.22, 6 Cd 3.44-3.50

Below is Li2SmCdAg2 after structural relaxation, with properties calculated at the PBE level.

Its symmetry is P-3m1. The value obtained for the density is 6.59 g cm⁻³. Its formation energy is -0.21 eV per atom. The volume comes out at 124.1 Å³ per cell.

a b c (Å): 4.6606 4.6606 6.5987
angles (deg): 90.00 90.00 120.00
Closest atoms and distances in Å follow each position.
Positions (direct):
Cd: 0.0000 0.0000 0.5000  6 Li 2.90, 6 Ag 3.14
Li: 0.6667 0.3333 0.3341  4 Ag 2.71-2.74, 3 Cd 2.90
Ag: 0.6667 0.3333 0.7452  4 Li 2.71-2.74
Sm: 0.0000 0.0000 0.0000  6 Ag 3.17, 2 Cd 3.30, 6 Li 3.48
Li: 0.3333 0.6667 0.6659  4 Ag 2.71-2.74, 3 Cd 2.90
Ag: 0.3333 0.6667 0.2548  4 Li 2.71-2.74

Below is LiCdAgSn after structural relaxation, with properties calculated at the PBE level.

Its symmetry is I-4m2. The value obtained for the density is 7.02 g cm⁻³. Its formation energy is -0.16 eV per atom. The volume comes out at 81.8 Å³ per cell.

a b c (Å): 5.2083 5.2083 4.7610
angles (deg): 123.16 123.16 90.00
Closest atoms and distances in Å follow each position.
Positions (direct):
Cd: 0.7500 0.2500 0.5000  4 Sn 3.01, 4 Li 3.01, 2 Ag 3.02
Sn: 0.5000 0.5000 0.0000  4 Cd 3.01, 4 Ag 3.01, 2 Li 3.02
Li: 0.0000 0.0000 0.0000  4 Cd 3.01, 4 Ag 3.01, 2 Sn 3.02
Ag: 0.2500 0.7500 0.5000  4 Sn 3.01, 4 Li 3.01, 2 Cd 3.02

Below is Li5Cd2Ag2Sn after structural relaxation, with properties calculated at the PBE level.

Its symmetry is P4/mbm. The value obtained for the density is 5.17 g cm⁻³. Its formation energy is -0.17 eV per atom. The volume comes out at 381.8 Å³ per cell.

a b c (Å): 3.5971 10.3023 10.3023
angles (deg): 90.00 90.00 90.00
Closest atoms and distances in Å follow each position.
Positions (direct):
Li: 0.5000 0.0770 0.8043  2 Ag 2.62, 2 Sn 2.82
Li: 0.5000 0.5770 0.6957  2 Ag 2.62, 2 Sn 2.82
Li: 0.5000 0.5000 0.0000  4 Ag 2.57
Ag: 0.0000 0.3739 0.1261  6 Li 2.57-2.62
Ag: 0.0000 0.8739 0.3739  6 Li 2.57-2.62
Li: 0.5000 0.6957 0.4230  2 Ag 2.62, 2 Sn 2.82
Li: 0.5000 0.9230 0.1957  2 Ag 2.62, 2 Sn 2.82
Cd: 0.0000 0.8299 0.6701  3 Ag 2.97-3.09, 6 Li 3.06-3.18
Cd: 0.0000 0.6701 0.1701  3 Ag 2.97-3.09, 6 Li 3.06-3.18
Li: 0.5000 0.4230 0.3043  2 Ag 2.62, 2 Sn 2.82
Li: 0.5000 0.0000 0.5000  4 Ag 2.57
Sn: 0.0000 0.5000 0.5000  8 Li 2.82
Ag: 0.0000 0.1261 0.6261  6 Li 2.57-2.62
Li: 0.5000 0.3043 0.5770  2 Ag 2.62, 2 Sn 2.82
Li: 0.5000 0.8043 0.9230  2 Ag 2.62, 2 Sn 2.82
Cd: 0.0000 0.1701 0.3299  3 Ag 2.97-3.09, 6 Li 3.06-3.18
Sn: 0.0000 0.0000 0.0000  8 Li 2.82
Cd: 0.0000 0.3299 0.8299  3 Ag 2.97-3.09, 6 Li 3.06-3.18
Ag: 0.0000 0.6261 0.8739  6 Li 2.57-2.62
Li: 0.5000 0.1957 0.0770  2 Ag 2.62, 2 Sn 2.82

Below is LiCd2Ag7Sn2 after structural relaxation, with properties calculated at the PBE level.

Its symmetry is C2/m. The value obtained for the density is 8.23 g cm⁻³. Its formation energy is 0.02 eV per atom. The volume comes out at 247.0 Å³ per cell.

a b c (Å): 3.9632 3.9632 15.9678
angles (deg): 82.91 82.91 90.04
Closest atoms and distances in Å follow each position.
Positions (direct):
Ag: 0.9324 0.4328 0.1343  6 Ag 2.80-2.90, 2 Li 2.90, 2 Cd 2.93
Ag: 0.4328 0.9324 0.1343  6 Ag 2.80-2.90, 2 Li 2.90, 2 Cd 2.93
Ag: 0.5672 0.0676 0.8657  6 Ag 2.80-2.90, 2 Li 2.90, 2 Cd 2.93
Cd: 0.6357 0.6357 0.7281  5 Ag 2.92-2.93, 4 Sn 3.13-3.15
Ag: 0.5000 0.5000 0.0000  4 Li 2.80, 8 Ag 2.89-2.90
Ag: 0.0676 0.5672 0.8657  6 Ag 2.80-2.90, 2 Li 2.90, 2 Cd 2.93
Ag: 0.7266 0.7266 0.5426  5 Sn 2.85-3.18, 1 Cd 2.92, 4 Ag 3.08-3.13
Sn: 0.1787 0.1787 0.6383  5 Ag 2.85-3.18, 4 Cd 3.13-3.15
Li: 0.0000 0.0000 0.0000  12 Ag 2.80-2.90
Sn: 0.8213 0.8213 0.3617  5 Ag 2.85-3.18, 4 Cd 3.13-3.15
Ag: 0.2734 0.2734 0.4574  5 Sn 2.85-3.18, 1 Cd 2.92, 4 Ag 3.08-3.13
Cd: 0.3643 0.3643 0.2719  5 Ag 2.92-2.93, 4 Sn 3.13-3.15

Below is Li2Cd2Ag2Sn after structural relaxation, with properties calculated at the PBE level.

Its symmetry is R-3m. The value obtained for the density is 7.22 g cm⁻³. Its formation energy is -0.19 eV per atom. The volume comes out at 131.9 Å³ per cell.

a b c (Å): 4.7362 4.7362 7.3199
angles (deg): 71.12 71.12 60.00
Closest atoms and distances in Å follow each position.
Positions (direct):
Cd: 0.4269 0.4269 0.7192  4 Li 2.87-2.95, 3 Ag 2.92, 1 Cd 2.98
Cd: 0.5731 0.5731 0.2808  4 Li 2.87-2.95, 3 Ag 2.92, 1 Cd 2.98
Li: 0.7178 0.7178 0.8467  1 Ag 2.82, 4 Cd 2.87-2.95, 3 Sn 2.93
Sn: 0.0000 0.0000 0.0000  6 Li 2.93, 2 Ag 2.93
Ag: 0.8560 0.8560 0.4319  1 Li 2.82, 3 Ag 2.89, 3 Cd 2.92, 1 Sn 2.93
Li: 0.2822 0.2822 0.1533  1 Ag 2.82, 4 Cd 2.87-2.95, 3 Sn 2.93
Ag: 0.1440 0.1440 0.5681  1 Li 2.82, 3 Ag 2.89, 3 Cd 2.92, 1 Sn 2.93

Below is LiCdAgSn after structural relaxation, with properties calculated at the PBE level.

Its symmetry is F-43m. The value obtained for the density is 7.21 g cm⁻³. Its formation energy is -0.17 eV per atom. The volume comes out at 79.6 Å³ per cell.

a b c (Å): 4.8288 4.8288 4.8288
angles (deg): 60.00 60.00 60.00
Closest atoms and distances in Å follow each position.
Positions (direct):
Cd: 0.7500 0.7500 0.7500  4 Li 2.96, 4 Ag 2.96
Ag: 0.0000 0.0000 0.0000  4 Cd 2.96, 4 Sn 2.96
Li: 0.5000 0.5000 0.5000  4 Sn 2.96, 4 Cd 2.96
Sn: 0.2500 0.2500 0.2500  4 Li 2.96, 4 Ag 2.96